A relaxed structure of TlSeBr, computed with GGA-PBE.

Output
* crystal system: monoclinic
* formation energy (no corrections): -0.325 eV/atom
* total moment: 0.0 μB/f.u.

Cell lengths 11.9536, 6.1405, 6.7469 Å; angles 90.00, 118.96, 90.00 degrees
Last column: nearest neighbours and their distance in Å.
Space group C2/m (No. 12)
Unique sites:
Tl 0.0000 0.0000 0.0000 [2 per cell]  2 Se 3.18, 4 Br 3.52
Tl 0.0000 0.5000 0.5000 [2 per cell]  4 Se 3.29, 2 Br 3.47
Se 0.1064 0.0000 0.5324 [4 per cell]  1 Se 2.36
Br 0.1613 0.5000 0.0874 [4 per cell]  1 Se 2.72